## Tb3SmTh2As6 (PBE)

Data for a relaxed Tb3SmTh2As6 crystal. Values from VASP.

Summary:
- V: 26.03 Å³ per atom
- Space group: C2/m
- Energy of formation: -1505 meV/atom

The structure in Quantum ESPRESSO input format:
```
&SYSTEM
  ibrav = 0, nat = 12, ntyp = 4
/
ATOMIC_SPECIES
Tb 158.93 Tb.upf
Sm 150.36 Sm.upf
Th 232.04 Th.upf
As 74.92 As.upf
CELL_PARAMETERS angstrom
9.1266 -2.1001 0.0000
9.1266 2.1001 0.0000
-1.8940 0.0000 8.1491
ATOMIC_POSITIONS angstrom
Tb 0.0000 0.0000 0.0000
Tb 4.8397 0.0000 5.4274
Tb 11.5196 0.0000 2.7217
Sm -0.9470 0.0000 4.0746
Th 5.7900 0.0000 1.3798
Th 10.5693 0.0000 6.7693
As 2.8608 0.0000 0.7046
As 1.9652 0.0000 4.7251
As 7.6777 0.0000 6.1356
As 8.6816 0.0000 2.0135
As 14.3941 0.0000 3.4240
As 13.4985 0.0000 7.4445
```

---

## CaAcCO5 (PBE)

Data for a relaxed CaAcCO5 crystal. Values from VASP.

Summary:
- V: 14.39 Å³ per atom
- Energy relative to the elements, uncorrected: -2107 meV per atom
- Space group: Cmcm

The structure in Quantum ESPRESSO input format:
```
&SYSTEM
  ibrav = 0, nat = 16, ntyp = 4
/
ATOMIC_SPECIES
Ca 40.08 Ca.upf
Ac 227.00 Ac.upf
C 12.01 C.upf
O 16.00 O.upf
CELL_PARAMETERS angstrom
3.4066 -4.3721 0.0000
3.4066 4.3721 0.0000
0.0000 0.0000 7.7291
ATOMIC_POSITIONS angstrom
Ca 3.4066 3.4743 5.7968
Ca 3.4066 -3.4743 1.9323
Ac 3.4066 0.0000 0.0000
Ac 3.4066 0.0000 3.8645
C 3.4066 2.3665 1.9323
C 3.4066 -2.3665 5.7968
O 3.4066 3.1332 0.7858
O 3.4066 3.1332 3.0787
O 2.2933 1.4344 1.9323
O 3.4066 1.2614 5.7968
O 4.5199 1.4344 1.9323
O 2.2933 -1.4344 5.7968
O 3.4066 -1.2614 1.9323
O 4.5199 -1.4344 5.7968
O 3.4066 -3.1332 4.6503
O 3.4066 -3.1332 6.9433
```

---

## Zr4Zn3Re (PBE)

Data for a relaxed Zr4Zn3Re crystal. Values from VASP.

Summary:
- V: 18.59 Å³ per atom
- Space group: P4/mmm
- Energy of formation: -298 meV/atom

The structure in Quantum ESPRESSO input format:
```
&SYSTEM
  ibrav = 0, nat = 8, ntyp = 3
/
ATOMIC_SPECIES
Zr 91.22 Zr.upf
Zn 65.41 Zn.upf
Re 186.21 Re.upf
CELL_PARAMETERS angstrom
3.3617 0.0000 0.0000
0.0000 3.3617 0.0000
0.0000 0.0000 13.1634
ATOMIC_POSITIONS angstrom
Zr 0.0000 0.0000 1.5773
Zr 0.0000 0.0000 4.9232
Zr 0.0000 0.0000 8.2402
Zr 0.0000 0.0000 11.5861
Zn 1.6808 1.6808 3.2813
Zn 1.6808 1.6808 6.5817
Zn 1.6808 1.6808 9.8821
Re 1.6808 1.6808 0.0000
```